A plane-wave DFT calculation with PBE-GGA was carried out for an optimized crystal structure of AcPrPdRh.

```
4
Lattice="5.203 0.000 0.000 2.602 4.506 0.000 2.602 1.502 4.248" Properties=species:S:1:pos:R:3 pbc="T T T"
Pr 7.805 4.506 3.186
Ac 2.602 1.502 1.062
Rh 5.203 3.004 2.124
Pd 0.000 0.000 0.000
```

Computed properties:
Fermi-level density of states (states/eV per cell): 2.3
Relative energy among the computed polymorphs (kJ/mol of formula units): 32
SG: No. 216
VASP energy (eV per atom): -6.008
Energy of formation (meV per atom): -650